Computed, not measured: a relaxed PmCoP2O8 crystal at the PBE+U level of DFT.

Size of the total moment ... 4.019 μB/f.u.
Electronic total energy ... -7.28 eV/atom
Symmetry ... No. 164

```
12
Lattice="5.138 0.000 0.000 -2.569 4.450 0.000 0.000 0.000 6.618" Properties=species:S:1:pos:R:3 pbc="T T T"
Pm 0.000 0.000 3.309
Co 0.000 0.000 0.000
P 0.000 2.966 4.843
P 2.569 1.483 1.775
O 0.000 1.494 5.319
O -1.275 3.703 5.319
O 1.275 3.703 5.319
O 1.294 0.747 1.300
O 2.569 1.483 3.312
O 0.000 2.966 3.306
O 2.569 2.956 1.300
O 3.844 0.747 1.300
```